Compound: Mn2ZnCo
Source: Alexandria
Functional: PBE
Structure: relaxed

Computed properties:
As for the formation energy from the elements: 0.112 eV/atom. Its space group is P4/mmm, No. 123. The value obtained for the raw total energy is -6.567 eV per atom.

Structure (POSCAR):
```
Mn2ZnCo
1.0
2.5513 0.0000 0.0000
0.0000 2.5513 0.0000
0.0000 0.0000 7.2655
Mn Zn Co
2 1 1
Cartesian
0.0000 0.0000 1.6770 Mn
0.0000 0.0000 5.5886 Mn
1.2757 1.2757 3.6328 Zn
1.2757 1.2757 0.0000 Co
```